Entry from the Alexandria database: a geometry-optimized TcW3S structure (GGA-PBE).

uncorrected formation energy = 11.126 eV/f.u.
excess energy over the best structure of this formula in the dataset = 1229 meV per atom
total magnetic moment = 0.0 μB/cell

Cell lengths 4.7270, 4.7270, 4.7270 Å; angles 90.00, 90.00, 90.00 degrees
With the nearest neighbours (Å) after each atom.
Atoms (fractional coordinates):
W  0.0000  0.5000  0.0000  2 Tc 2.36
W  0.5000  0.0000  0.0000  2 Tc 2.36
W  0.0000  0.0000  0.5000  2 Tc 2.36
S  0.5000  0.5000  0.5000  12 W 3.34
Tc  0.0000  0.0000  0.0000  6 W 2.36

***

Entry from the Alexandria database: a geometry-optimized Tc3WS structure (GGA-PBE).

uncorrected formation energy = 3.368 eV/f.u.
excess energy over the best structure of this formula in the dataset = 0 meV per atom
total magnetic moment = 0.0 μB/cell

Cell lengths 4.3030, 4.3030, 4.3030 Å; angles 90.00, 90.00, 90.00 degrees
With the nearest neighbours (Å) after each atom.
Atoms (fractional coordinates):
W  0.5000  0.5000  0.5000  12 Tc 3.04
Tc  0.5000  0.0000  0.0000  2 S 2.15
Tc  0.0000  0.0000  0.5000  2 S 2.15
Tc  0.0000  0.5000  0.0000  2 S 2.15
S  0.0000  0.0000  0.0000  6 Tc 2.15

***

Entry from the Alexandria database: a geometry-optimized Y2TcS structure (GGA-PBE).

uncorrected formation energy = -0.689 eV/f.u.
total magnetic moment = 0.0 μB/cell

Cell lengths 3.5870, 3.5870, 8.8221 Å; angles 78.27, 78.27, 60.00 degrees
With the nearest neighbours (Å) after each atom.
Atoms (fractional coordinates):
Y  0.0978  0.0978  0.7065  1 Tc 2.52, 3 S 2.72
Y  0.9022  0.9022  0.2935  1 Tc 2.52, 3 S 2.72
S  0.5000  0.5000  0.5000  6 Y 2.72
Tc  0.0000  0.0000  0.0000  2 Y 2.52

***

> Which value of uncorrected formation energy does entry 2 give?

3.368 eV/f.u.